(1)
Density functional theory data (SCAN) for Tm2ZnPd at its PBEsol-relaxed geometry.

- ΔH_f (0 K) (eV per formula unit) = -3.0
- density of states at the Fermi level (states/eV/f.u.) = 2.0
- DFT total energy (eV/atom) = -38.235

abc: 6.8605 6.8605 6.8605
angles: 90.00 90.00 90.00
Closest atoms and distances in Å follow each position.
Space group Fm-3m (No. 225)
Inequivalent atoms, fractional coordinates:
Tm1 0.2500 0.2500 0.2500 x8  4 Pd 2.97, 4 Zn 2.97
Zn1 0.0000 0.0000 0.0000 x4  8 Tm 2.97
Pd1 0.0000 0.0000 0.5000 x4  8 Tm 2.97


(2)
Density functional theory data (SCAN) for LiAl at its PBEsol-relaxed geometry.

- ΔH_f (0 K) (eV per formula unit) = -0.1
- density of states at the Fermi level (states/eV/f.u.) = 0.7
- DFT total energy (eV/atom) = -5.143

abc: 3.2679 4.3747 8.6051
angles: 90.00 90.00 90.00
Closest atoms and distances in Å follow each position.
Space group Imma (No. 74)
Inequivalent atoms, fractional coordinates:
Li1 0.0000 0.2500 0.1296 x4  2 Li 2.64, 6 Al 2.71-2.73
Al1 0.0000 0.2500 0.6211 x4  6 Li 2.71-2.73, 4 Al 2.76-3.02


(3)
Density functional theory data (SCAN) for LiVGeO5 at its PBEsol-relaxed geometry.

- offset from the most stable computed form (meV per atom) = 0.0
- density of states at the Fermi level (states/eV/f.u.) = 0.0
- DFT total energy (eV/atom) = -10.980

abc: 4.7152 6.2971 6.5311
angles: 90.00 94.93 90.00
Closest atoms and distances in Å follow each position.
Space group P2_1/m (No. 11)
Inequivalent atoms, fractional coordinates:
Li1 0.0000 0.0000 0.0000 x2  4 O 2.00-2.03
V1 0.3884 0.2500 0.7519 x2  2 O 1.62-1.77
Ge1 0.4756 0.7500 0.7530 x2  4 O 1.74-1.77
O1 0.2549 0.5248 0.7656 x4  1 Ge 1.77, 1 V 1.85
O2 0.2578 0.2500 0.0451 x2  1 Ge 1.74
O3 0.2735 0.7500 0.1820 x2  1 V 1.62
O4 0.3644 0.2500 0.4798 x2  1 Ge 1.75, 1 V 1.77


(4)
Density functional theory data (SCAN) for Be2PdCl at its PBEsol-relaxed geometry.

- density of states at the Fermi level (states/eV/f.u.) = 1.5
- DFT total energy (eV/atom) = -11.766

abc: 5.9030 5.9030 5.9030
angles: 90.00 90.00 90.00
Closest atoms and distances in Å follow each position.
Space group Fm-3m (No. 225)
Inequivalent atoms, fractional coordinates:
Be1 0.2500 0.2500 0.2500 x8  4 Cl 2.56, 4 Pd 2.56
Pd1 0.0000 0.0000 0.0000 x4  8 Be 2.56
Cl1 0.0000 0.0000 0.5000 x4  8 Be 2.56


(5)
Density functional theory data (SCAN) for CrCd2P at its PBEsol-relaxed geometry.

- ΔH_f (0 K) (eV per formula unit) = 0.5
- density of states at the Fermi level (states/eV/f.u.) = 1.5
- DFT total energy (eV/atom) = -22.276

abc: 3.2426 4.5271 9.6764
angles: 90.00 90.00 90.00
Closest atoms and distances in Å follow each position.
Space group Imm2 (No. 44)
Inequivalent atoms, fractional coordinates:
Cr1 0.0000 0.0000 0.0000 x2  2 P 2.26
Cd1 0.0000 0.0000 0.4533 x2  4 Cr 2.82, 2 Cd 3.03, 2 P 3.04
Cd2 0.0000 0.5000 0.2451 x2  4 P 2.90, 2 Cr 2.95, 4 Cd 3.03-3.24
P1 0.0000 0.5000 0.6627 x2  2 Cr 2.26


(6)
Density functional theory data (SCAN) for Ca2LaAl at its PBEsol-relaxed geometry.

- ΔH_f (0 K) (eV per formula unit) = 0.0
- density of states at the Fermi level (states/eV/f.u.) = 2.7
- DFT total energy (eV/atom) = -17.542

abc: 4.8162 4.8162 10.4976
angles: 90.00 90.00 90.00
Closest atoms and distances in Å follow each position.
Space group I4/mmm (No. 139)
Inequivalent atoms, fractional coordinates:
Ca1 0.0000 0.5000 0.2500 x4  4 Ca 3.41, 4 La 3.56, 4 Al 3.56
La1 0.0000 0.0000 0.0000 x2  4 Al 3.41, 8 Ca 3.56
Al1 0.0000 0.0000 0.5000 x2  4 La 3.41, 8 Ca 3.56


(7)
Density functional theory data (SCAN) for Sc3Co2Ge3 at its PBEsol-relaxed geometry.

- ΔH_f (0 K) (eV per formula unit) = -6.2
- density of states at the Fermi level (states/eV/f.u.) = 3.9
- DFT total energy (eV/atom) = -17.594

abc: 3.9921 9.7495 13.1008
angles: 90.00 90.00 90.00
Closest atoms and distances in Å follow each position.
Space group Cmcm (No. 63)
Inequivalent atoms, fractional coordinates:
Sc1 0.0000 0.0790 0.1107 x8  7 Ge 2.80-3.04, 4 Co 2.81-3.02
Sc2 0.0000 0.3530 0.2500 x4  5 Ge 2.77-2.93, 4 Co 2.88
Co1 0.0000 0.2089 0.5983 x8  4 Ge 2.29-2.43
Ge1 0.0000 0.3467 0.7500 x4  2 Co 2.40
Ge2 0.0000 0.3761 0.0395 x8  3 Co 2.29-2.43


(8)
Density functional theory data (SCAN) for Sr2SbPt at its PBEsol-relaxed geometry.

- density of states at the Fermi level (states/eV/f.u.) = 1.7
- DFT total energy (eV/atom) = -38.802

abc: 5.4780 5.4780 3.6557
angles: 90.00 90.00 90.00
Closest atoms and distances in Å follow each position.
Space group P4/mmm (No. 123)
Inequivalent atoms, fractional coordinates:
Sr1 0.0000 0.5000 0.0000 x2  4 Sb 3.29, 4 Pt 3.29, 2 Sr 3.66
Sb1 0.0000 0.0000 0.5000 x1  8 Sr 3.29, 2 Sb 3.66
Pt1 0.5000 0.5000 0.5000 x1  8 Sr 3.29, 2 Pt 3.66


DFT total energy of number 2 (LiAl)? -5.143 eV/atom